# CuRe2Tc

A relaxed structure of CuRe2Tc (GGA-PBE, Alexandria).

CIF file:
```
data_CuRe2Tc
_cell_length_a 3.8182
_cell_length_b 3.8182
_cell_length_c 3.8900
_cell_angle_alpha 90.00
_cell_angle_beta 90.00
_cell_angle_gamma 90.00
_symmetry_space_group_name_H-M 'P 1'
_symmetry_Int_Tables_number 1
loop_
_symmetry_equiv_pos_as_xyz
'x,y,z'
loop_
_atom_site_label
_atom_site_type_symbol
_atom_site_fract_x
_atom_site_fract_y
_atom_site_fract_z
_atom_site_occupancy
Cu1 Cu 0.0000 0.0000 0.0000 1
Re1 Re 0.0000 0.5000 0.5000 1
Re2 Re 0.5000 0.0000 0.5000 1
Tc1 Tc 0.5000 0.5000 0.0000 1
```

## Properties
The calculation puts the energy relative to the elements at 0.260 eV/atom. Its distance to the lowest polymorph of the same formula is 0.103 eV/atom. As for the space group: P4/mmm, No. 123. As for the density of states at the Fermi level: 0.93 states/eV per atom.

---

# CuRe2Tc

A relaxed structure of CuRe2Tc (GGA-PBE, Alexandria).

CIF file:
```
data_CuRe2Tc
_cell_length_a 4.7189
_cell_length_b 4.7189
_cell_length_c 2.7392
_cell_angle_alpha 90.00
_cell_angle_beta 90.00
_cell_angle_gamma 110.65
_symmetry_space_group_name_H-M 'P 1'
_symmetry_Int_Tables_number 1
loop_
_symmetry_equiv_pos_as_xyz
'x,y,z'
loop_
_atom_site_label
_atom_site_type_symbol
_atom_site_fract_x
_atom_site_fract_y
_atom_site_fract_z
_atom_site_occupancy
Cu1 Cu 0.0000 0.0000 0.0000 1
Re1 Re 0.0000 0.5000 0.5000 1
Re2 Re 0.5000 0.0000 0.5000 1
Tc1 Tc 0.5000 0.5000 0.0000 1
```

## Properties
The calculation puts the energy relative to the elements at 0.269 eV/atom. Its distance to the lowest polymorph of the same formula is 0.112 eV/atom. As for the space group: Cmmm, No. 65. As for the density of states at the Fermi level: 0.98 states/eV per atom.

---

# CuRe2Tc

A relaxed structure of CuRe2Tc (GGA-PBE, Alexandria).

CIF file:
```
data_CuRe2Tc
_cell_length_a 4.7757
_cell_length_b 4.7757
_cell_length_c 4.6506
_cell_angle_alpha 100.58
_cell_angle_beta 100.58
_cell_angle_gamma 33.55
_symmetry_space_group_name_H-M 'P 1'
_symmetry_Int_Tables_number 1
loop_
_symmetry_equiv_pos_as_xyz
'x,y,z'
loop_
_atom_site_label
_atom_site_type_symbol
_atom_site_fract_x
_atom_site_fract_y
_atom_site_fract_z
_atom_site_occupancy
Cu1 Cu 0.0000 0.0000 0.0000 1
Re1 Re 0.2458 0.2458 0.7432 1
Re2 Re 0.7542 0.7542 0.2568 1
Tc1 Tc 0.5000 0.5000 0.5000 1
```

## Properties
The calculation puts the energy relative to the elements at 0.225 eV/atom. Its distance to the lowest polymorph of the same formula is 0.068 eV/atom. As for the space group: C2/m, No. 12. As for the density of states at the Fermi level: 0.92 states/eV per atom.

---

# CuRe2Tc

A relaxed structure of CuRe2Tc (GGA-PBE, Alexandria).

CIF file:
```
data_CuRe2Tc
_cell_length_a 4.3302
_cell_length_b 4.3302
_cell_length_c 4.3302
_cell_angle_alpha 60.00
_cell_angle_beta 60.00
_cell_angle_gamma 60.00
_symmetry_space_group_name_H-M 'P 1'
_symmetry_Int_Tables_number 1
loop_
_symmetry_equiv_pos_as_xyz
'x,y,z'
loop_
_atom_site_label
_atom_site_type_symbol
_atom_site_fract_x
_atom_site_fract_y
_atom_site_fract_z
_atom_site_occupancy
Cu1 Cu 0.0000 0.0000 0.0000 1
Re1 Re 0.5000 0.5000 0.5000 1
Re2 Re 0.7500 0.7500 0.7500 1
Tc1 Tc 0.2500 0.2500 0.2500 1
```

## Properties
The calculation puts the energy relative to the elements at 0.279 eV/atom. Its distance to the lowest polymorph of the same formula is 0.122 eV/atom. As for the space group: F-43m, No. 216. As for the density of states at the Fermi level: 0.86 states/eV per atom.

---

# Cu2ReTc

A relaxed structure of Cu2ReTc (GGA-PBE, Alexandria).

CIF file:
```
data_Cu2ReTc
_cell_length_a 3.0866
_cell_length_b 3.0866
_cell_length_c 5.7156
_cell_angle_alpha 90.00
_cell_angle_beta 90.00
_cell_angle_gamma 90.00
_symmetry_space_group_name_H-M 'P 1'
_symmetry_Int_Tables_number 1
loop_
_symmetry_equiv_pos_as_xyz
'x,y,z'
loop_
_atom_site_label
_atom_site_type_symbol
_atom_site_fract_x
_atom_site_fract_y
_atom_site_fract_z
_atom_site_occupancy
Cu1 Cu 0.0000 0.0000 0.0000 1
Cu2 Cu 0.5000 0.5000 0.2037 1
Re1 Re 0.0000 0.0000 0.4814 1
Tc1 Tc 0.5000 0.5000 0.7186 1
```

## Properties
The calculation puts the energy relative to the elements at 0.227 eV/atom. Its distance to the lowest polymorph of the same formula is 0.086 eV/atom. As for the space group: P4mm, No. 99. As for the density of states at the Fermi level: 0.60 states/eV per atom.

---

# CuReTc

A relaxed structure of CuReTc (GGA-PBE, Alexandria).

CIF file:
```
data_CuReTc
_cell_length_a 2.7412
_cell_length_b 2.7412
_cell_length_c 6.5876
_cell_angle_alpha 90.00
_cell_angle_beta 90.00
_cell_angle_gamma 120.00
_symmetry_space_group_name_H-M 'P 1'
_symmetry_Int_Tables_number 1
loop_
_symmetry_equiv_pos_as_xyz
'x,y,z'
loop_
_atom_site_label
_atom_site_type_symbol
_atom_site_fract_x
_atom_site_fract_y
_atom_site_fract_z
_atom_site_occupancy
Cu1 Cu 0.0000 0.0000 0.0000 1
Re1 Re 0.6667 0.3333 0.3401 1
Tc1 Tc 0.3333 0.6667 0.6592 1
```

## Properties
The calculation puts the energy relative to the elements at 0.161 eV/atom. Its distance to the lowest polymorph of the same formula is 0.017 eV/atom. As for the space group: P3m1, No. 156. As for the density of states at the Fermi level: 0.51 states/eV per atom.

---

| no. | E_tot (eV per atom) |
| --- | --- |
| 1 | -9.580 |
| 2 | -9.571 |
| 3 | -9.615 |
| 4 | -9.560 |
| 5 | -7.525 |
| 6 | -8.809 |